Material: SrSn3Bi3
Method: DFT, PBE
State: relaxed

Geometry as POSCAR:
```
SrSn3Bi3
1.0
8.561 0.000 0.000
0.000 8.561 0.000
0.000 0.000 8.561
Bi Sr Sn
6 2 6
direct
0.750 0.500 0.000 Bi
0.500 0.000 0.250 Bi
0.500 0.000 0.750 Bi
0.250 0.500 0.000 Bi
0.000 0.750 0.500 Bi
0.000 0.250 0.500 Bi
0.500 0.500 0.500 Sr
0.000 0.000 0.000 Sr
0.250 0.000 0.500 Sn
0.000 0.500 0.750 Sn
0.500 0.750 0.000 Sn
0.500 0.250 0.000 Sn
0.750 0.000 0.500 Sn
0.000 0.500 0.250 Sn
```

## Properties
- Total magnetic moment: 0.000 μB per cell
- DFT formation energy: 13 kJ per mole of atoms
- N(E_F): 0.720 states/eV per atom
- Total DFT energy (no corrections): -3.48 eV/atom

Material: K4Na3Hg4
Method: DFT, PBE
State: relaxed

Geometry as POSCAR:
```
K4Na3Hg4
1.0
3.999 0.000 -0.877
-0.795 9.792 -3.626
0.384 -1.378 11.315
Na Hg K
3 4 4
direct
0.101 0.101 0.202 Na
0.899 0.899 0.798 Na
0.000 0.500 0.000 Na
0.500 0.845 0.000 Hg
0.269 0.769 0.537 Hg
0.731 0.231 0.463 Hg
0.500 0.155 0.000 Hg
0.657 0.847 0.315 K
0.657 0.468 0.315 K
0.343 0.153 0.685 K
0.343 0.532 0.685 K
```

## Properties
- Total magnetic moment: 0.000 μB per cell
- DFT formation energy: -14 kJ per mole of atoms
- N(E_F): 0.391 states/eV per atom
- Total DFT energy (no corrections): -1.01 eV/atom

Material: CeCl4F
Method: DFT, PBE
State: relaxed

Geometry as POSCAR:
```
CeCl4F
1.0
7.199 -0.686 0.000
-4.775 5.428 0.000
0.000 0.000 10.922
Ce Cl F
2 8 2
direct
0.968 0.532 0.250 Ce
0.032 0.468 0.750 Ce
0.757 0.257 0.500 Cl
0.780 0.719 0.250 Cl
0.243 0.743 0.500 Cl
0.757 0.257 0.000 Cl
0.571 0.929 0.750 Cl
0.243 0.743 0.000 Cl
0.429 0.071 0.250 Cl
0.220 0.281 0.750 Cl
0.117 0.383 0.250 F
0.883 0.617 0.750 F
```

## Properties
- Total magnetic moment: 0.000 μB per cell
- Raw formation energy: -1.809 eV per atom
- N(E_F): 0.489 states/eV per atom
- Total DFT energy (no corrections): -4.34 eV/atom

Material: CsWN3
Method: DFT, PBE
State: relaxed

Geometry as POSCAR:
```
CsWN3
1.0
-1.656 3.468 -1.880
-3.899 -1.130 1.351
0.599 2.237 3.598
W N Cs
1 3 1
direct
0.500 0.500 0.500 W
0.000 0.000 0.500 N
0.500 0.000 0.000 N
0.000 0.500 0.000 N
0.000 0.000 0.000 Cs
```

## Properties
- Total magnetic moment: 2.301 μB per cell
- Raw formation energy: 3.680 eV per atom
- N(E_F): 0.417 states/eV per atom
- Total DFT energy (no corrections): -4.08 eV/atom

Material: Tb4Mg2C
Method: DFT, PBE
State: relaxed

Geometry as POSCAR:
```
Tb4Mg2C
1.0
-1.830 -2.594 3.867
-3.663 -1.763 -2.916
1.736 -8.256 -1.480
C Tb Mg
1 4 2
direct
0.000 0.000 0.000 C
0.845 0.845 0.309 Tb
0.500 0.000 0.000 Tb
0.155 0.155 0.691 Tb
0.000 0.500 0.000 Tb
0.365 0.365 0.270 Mg
0.635 0.635 0.730 Mg
```

## Properties
- Total magnetic moment: 0.005 μB per cell
- DFT formation energy: 2 kJ per mole of atoms
- N(E_F): 1.480 states/eV per atom
- Total DFT energy (no corrections): -4.40 eV/atom

Material: Ce5PSe4
Method: DFT, PBE
State: relaxed

Geometry as POSCAR:
```
Ce5PSe4
1.0
-0.273 5.876 -0.571
-1.954 2.240 -6.601
-6.483 2.822 1.554
Ce Se P
5 4 1
direct
0.292 0.807 0.611 Ce
0.710 0.193 0.389 Ce
0.501 0.000 0.000 Ce
0.099 0.611 0.193 Ce
0.903 0.389 0.807 Ce
0.200 0.204 0.399 Se
0.404 0.399 0.796 Se
0.598 0.601 0.204 Se
0.802 0.796 0.601 Se
0.001 0.000 0.000 P
```

## Properties
- Total magnetic moment: 4.096 μB per cell
- Raw formation energy: -1.772 eV per atom
- Energy above the most stable polymorph in this dataset: 0.0000 eV per atom
- N(E_F): 2.891 states/eV per atom
- Total DFT energy (no corrections): -6.67 eV/atom